# 1
Density functional theory data (PBE) for a relaxed PmPaFe2 crystal.

As for the raw total energy: -31.16 eV/cell. Its total magnetic moment is 0.74 Bohr magnetons per cell. The density of states at the Fermi level is 3.94 states/eV/cell. Its space group is P4/mmm.

Cell lengths 3.308, 3.308, 6.981 Å; angles 90.00, 90.00, 90.00 degrees
Sites, in units of the cell vectors:
Pa  0.500  0.500  0.000
Fe  0.000  0.000  0.806
Fe  0.000  0.000  0.194
Pm  0.500  0.500  0.500

***

# 2
Density functional theory data (PBE) for a relaxed PmPa2Fe9 crystal.

As for the raw total energy: -101.01 eV/cell. Its total magnetic moment is 15.60 Bohr magnetons per cell. The density of states at the Fermi level is 14.85 states/eV/cell. Its space group is R-3m.

Cell lengths 5.036, 5.036, 8.691 Å; angles 73.16, 73.16, 60.00 degrees
Sites, in units of the cell vectors:
Fe  0.918  0.417  0.249
Fe  0.417  0.417  0.249
Pa  0.142  0.142  0.573
Pa  0.858  0.858  0.427
Fe  0.667  0.667  0.000
Fe  0.500  0.500  0.500
Fe  0.333  0.333  0.000
Fe  0.583  0.583  0.751
Fe  0.082  0.583  0.751
Fe  0.583  0.082  0.751
Pm  0.000  0.000  0.000
Fe  0.417  0.918  0.249

***

# 3
Density functional theory data (PBE) for a relaxed PmPa2Fe crystal.

As for the raw total energy: -31.97 eV/cell. Its total magnetic moment is 0.00 Bohr magnetons per cell. The density of states at the Fermi level is 7.36 states/eV/cell. Its space group is R-3m.

Cell lengths 3.603, 3.603, 9.088 Å; angles 78.57, 78.57, 60.00 degrees
Sites, in units of the cell vectors:
Pa  0.725  0.725  0.824
Pa  0.275  0.275  0.176
Pm  0.500  0.500  0.500
Fe  0.000  0.000  0.000

***

# 4
Density functional theory data (PBE) for a relaxed PmPaFe crystal.

As for the raw total energy: -137.46 eV/cell. Its total magnetic moment is 0.00 Bohr magnetons per cell. The density of states at the Fermi level is 21.15 states/eV/cell. Its space group is R-3.

Cell lengths 5.619, 9.446, 9.446 Å; angles 116.17, 101.44, 101.44 degrees
Sites, in units of the cell vectors:
Pa  0.785  0.581  0.458
Pa  0.796  0.124  0.581
Pa  0.328  0.542  0.124
Fe  0.845  0.603  0.171
Pa  0.215  0.419  0.542
Pm  0.778  0.914  0.171
Pm  0.393  0.171  0.256
Fe  0.758  0.432  0.603
Pm  0.863  0.256  0.086
Pa  0.204  0.876  0.419
Fe  0.674  0.829  0.432
Fe  0.242  0.568  0.397
Pm  0.222  0.086  0.829
Pa  0.672  0.458  0.876
Fe  0.326  0.171  0.568
Pm  0.137  0.744  0.914
Pm  0.607  0.829  0.744
Fe  0.155  0.397  0.829

***

# 5
Density functional theory data (PBE) for a relaxed PmPaFe crystal.

As for the raw total energy: -22.73 eV/cell. Its total magnetic moment is 0.00 Bohr magnetons per cell. The density of states at the Fermi level is 4.61 states/eV/cell. Its space group is I4mm.

Cell lengths 3.406, 3.406, 6.185 Å; angles 105.98, 105.98, 90.00 degrees
Sites, in units of the cell vectors:
Pa  0.293  0.293  0.586
Fe  0.706  0.706  0.411
Pm  0.001  0.001  0.002

***

# 6
Density functional theory data (PBE) for a relaxed PmPaFeRh crystal.

As for the raw total energy: -30.71 eV/cell. Its total magnetic moment is 0.50 Bohr magnetons per cell. The density of states at the Fermi level is 5.35 states/eV/cell. Its space group is F-43m.

Cell lengths 4.862, 4.862, 4.862 Å; angles 60.00, 60.00, 60.00 degrees
Sites, in units of the cell vectors:
Pa  0.250  0.250  0.250
Fe  0.000  0.000  0.000
Rh  0.500  0.500  0.500
Pm  0.750  0.750  0.750

***

# 7
Density functional theory data (PBE) for a relaxed PmPaFeTc crystal.

As for the raw total energy: -32.58 eV/cell. Its total magnetic moment is 1.16 Bohr magnetons per cell. The density of states at the Fermi level is 4.87 states/eV/cell. Its space group is F-43m.

Cell lengths 4.861, 4.861, 4.861 Å; angles 60.00, 60.00, 60.00 degrees
Sites, in units of the cell vectors:
Fe  0.750  0.750  0.750
Tc  0.250  0.250  0.250
Pa  0.500  0.500  0.500
Pm  0.000  0.000  0.000

***

# 8
Density functional theory data (PBE) for a relaxed PrPaFe crystal.

As for the raw total energy: -22.64 eV/cell. Its total magnetic moment is 0.00 Bohr magnetons per cell. The density of states at the Fermi level is 4.03 states/eV/cell. Its space group is P-6m2.

Cell lengths 4.101, 4.101, 5.169 Å; angles 90.00, 90.00, 120.00 degrees
Sites, in units of the cell vectors:
Pa  0.667  0.333  0.500
Fe  0.333  0.667  0.500
Pr  0.000  0.000  0.000

***

# 9
Density functional theory data (PBE) for a relaxed PrPaFe crystal.

As for the raw total energy: -22.70 eV/cell. Its total magnetic moment is 0.00 Bohr magnetons per cell. The density of states at the Fermi level is 4.99 states/eV/cell. Its space group is I4mm.

Cell lengths 3.418, 3.418, 6.304 Å; angles 105.73, 105.73, 90.00 degrees
Sites, in units of the cell vectors:
Pa  0.710  0.710  0.419
Fe  0.290  0.290  0.580
Pr  0.000  0.000  0.001

***

# 10
Density functional theory data (PBE) for a relaxed PrPa2Fe crystal.

As for the raw total energy: -31.96 eV/cell. Its total magnetic moment is 0.00 Bohr magnetons per cell. The density of states at the Fermi level is 7.91 states/eV/cell. Its space group is R-3m.

Cell lengths 3.619, 3.619, 9.155 Å; angles 78.60, 78.60, 60.00 degrees
Sites, in units of the cell vectors:
Pa  0.275  0.275  0.174
Fe  0.000  0.000  0.000
Pr  0.500  0.500  0.500
Pa  0.725  0.725  0.826

***

# 11
Density functional theory data (PBE) for a relaxed PrPaFe crystal.

As for the raw total energy: -45.42 eV/cell. Its total magnetic moment is 0.00 Bohr magnetons per cell. The density of states at the Fermi level is 6.75 states/eV/cell. Its space group is C2/m.

Cell lengths 3.563, 6.490, 7.128 Å; angles 71.92, 75.53, 74.07 degrees
Sites, in units of the cell vectors:
Pr  0.546  0.227  0.681
Fe  0.119  0.793  0.970
Fe  0.881  0.207  0.030
Pr  0.454  0.773  0.319
Pa  0.242  0.322  0.193
Pa  0.758  0.678  0.807

***

# 12
Density functional theory data (PBE) for a relaxed PaFePt crystal.

As for the raw total energy: -25.08 eV/cell. Its total magnetic moment is 1.14 Bohr magnetons per cell. The density of states at the Fermi level is 2.39 states/eV/cell. Its space group is I4mm.

Cell lengths 3.778, 3.778, 4.800 Å; angles 113.17, 113.17, 90.00 degrees
Sites, in units of the cell vectors:
Pt  0.619  0.619  0.239
Pa  0.974  0.974  0.948
Fe  0.257  0.257  0.513

***

# 13
Density functional theory data (PBE) for a relaxed Pa2Fe2Pt crystal.

As for the raw total energy: -88.74 eV/cell. Its total magnetic moment is 0.00 Bohr magnetons per cell. The density of states at the Fermi level is 10.46 states/eV/cell. Its space group is C2/c.

Cell lengths 5.147, 5.147, 8.051 Å; angles 103.04, 96.76, 117.59 degrees
Sites, in units of the cell vectors:
Fe  0.235  0.781  0.995
Fe  0.785  0.740  0.505
Pt  0.293  0.043  0.750
Fe  0.765  0.219  0.005
Pa  0.875  0.317  0.652
Pt  0.707  0.957  0.250
Pa  0.665  0.723  0.848
Pa  0.125  0.683  0.348
Pa  0.335  0.277  0.152
Fe  0.215  0.260  0.495

***

# 14
Density functional theory data (PBE) for a relaxed PaFe4Pt crystal.

As for the raw total energy: -50.77 eV/cell. Its total magnetic moment is 8.85 Bohr magnetons per cell. The density of states at the Fermi level is 5.43 states/eV/cell. Its space group is F-43m.

Cell lengths 4.985, 4.985, 4.985 Å; angles 60.00, 60.00, 60.00 degrees
Sites, in units of the cell vectors:
Pt  0.000  0.000  0.000
Pa  0.250  0.250  0.250
Fe  0.626  0.626  0.626
Fe  0.626  0.626  0.123
Fe  0.626  0.123  0.626
Fe  0.123  0.626  0.626

***

# 15
Density functional theory data (PBE) for a relaxed PaFePt6 crystal.

As for the raw total energy: -58.79 eV/cell. Its total magnetic moment is 3.75 Bohr magnetons per cell. The density of states at the Fermi level is 5.05 states/eV/cell. Its space group is C2/m.

Cell lengths 4.068, 5.039, 7.509 Å; angles 75.90, 74.33, 66.14 degrees
Sites, in units of the cell vectors:
Fe  0.000  0.500  0.500
Pa  0.000  0.000  0.000
Pt  0.753  0.112  0.381
Pt  0.247  0.888  0.619
Pt  0.504  0.735  0.257
Pt  0.496  0.265  0.743
Pt  0.754  0.629  0.864
Pt  0.246  0.371  0.136

***

# 16
Density functional theory data (PBE) for a relaxed PaFePt crystal.

As for the raw total energy: -25.06 eV/cell. Its total magnetic moment is 0.00 Bohr magnetons per cell. The density of states at the Fermi level is 4.80 states/eV/cell. Its space group is P-6m2.

Cell lengths 3.712, 4.196, 4.196 Å; angles 120.00, 90.00, 90.00 degrees
Sites, in units of the cell vectors:
Pa  0.667  0.667  0.333
Pt  0.167  0.000  0.000
Fe  0.167  0.333  0.667

***

# 17
Density functional theory data (PBE) for a relaxed Pa3FePt2 crystal.

As for the raw total energy: -105.97 eV/cell. Its total magnetic moment is 0.00 Bohr magnetons per cell. The density of states at the Fermi level is 15.00 states/eV/cell. Its space group is C2/c.

Cell lengths 6.059, 6.905, 6.898 Å; angles 103.39, 116.05, 90.00 degrees
Sites, in units of the cell vectors:
Pa  0.258  0.112  0.306
Pt  0.449  0.480  0.676
Pt  0.227  0.980  0.676
Pt  0.551  0.520  0.324
Pa  0.637  0.250  0.000
Pa  0.047  0.612  0.306
Pa  0.742  0.888  0.694
Pa  0.953  0.388  0.694
Fe  0.861  0.750  0.000
Fe  0.139  0.250  0.000
Pa  0.363  0.750  0.000
Pt  0.773  0.020  0.324

***

# 18
Density functional theory data (PBE) for a relaxed PaFePt crystal.

As for the raw total energy: -51.86 eV/cell. Its total magnetic moment is 0.00 Bohr magnetons per cell. The density of states at the Fermi level is 3.55 states/eV/cell. Its space group is C2/m.

Cell lengths 3.857, 5.648, 5.742 Å; angles 119.46, 79.78, 90.00 degrees
Sites, in units of the cell vectors:
Fe  0.568  0.371  0.741
Pa  0.654  0.807  0.614
Fe  0.432  0.629  0.259
Pa  0.346  0.193  0.386
Pt  0.000  0.252  0.000
Pt  0.000  0.748  0.000

***

# 19
Density functional theory data (PBE) for a relaxed TmPaFePt crystal.

As for the raw total energy: -30.17 eV/cell. Its total magnetic moment is 0.84 Bohr magnetons per cell. The density of states at the Fermi level is 5.22 states/eV/cell. Its space group is F-43m.

Cell lengths 4.847, 4.847, 4.847 Å; angles 60.00, 60.00, 60.00 degrees
Sites, in units of the cell vectors:
Pt  0.000  0.000  0.000
Fe  0.500  0.500  0.500
Pa  0.750  0.750  0.750
Tm  0.250  0.250  0.250

***

# 20
Density functional theory data (PBE) for a relaxed PaZnFePt crystal.

As for the raw total energy: -26.53 eV/cell. Its total magnetic moment is 1.38 Bohr magnetons per cell. The density of states at the Fermi level is 4.13 states/eV/cell. Its space group is F-43m.

Cell lengths 4.634, 4.634, 4.634 Å; angles 60.00, 60.00, 60.00 degrees
Sites, in units of the cell vectors:
Pt  0.500  0.500  0.500
Pa  0.250  0.250  0.250
Zn  0.750  0.750  0.750
Fe  0.000  0.000  0.000

***

# 21
Density functional theory data (PBE) for a relaxed PuPaFe crystal.

As for the raw total energy: -128.90 eV/cell. Its total magnetic moment is 17.76 Bohr magnetons per cell. The density of states at the Fermi level is 23.87 states/eV/cell. Its space group is P2_1/c.

Cell lengths 5.725, 6.241, 6.740 Å; angles 104.96, 90.00, 90.00 degrees
Sites, in units of the cell vectors:
Fe  0.999  0.502  0.288
Fe  0.501  0.502  0.788
Pu  0.235  0.191  0.832
Pa  0.233  0.794  0.006
Pu  0.735  0.809  0.668
Pu  0.765  0.809  0.168
Pa  0.267  0.794  0.506
Fe  0.499  0.498  0.212
Pa  0.733  0.206  0.494
Pu  0.265  0.191  0.332
Fe  0.001  0.498  0.712
Pa  0.767  0.206  0.994

***

# 22
Density functional theory data (PBE) for a relaxed PuPaFe2 crystal.

As for the raw total energy: -40.53 eV/cell. Its total magnetic moment is 3.20 Bohr magnetons per cell. The density of states at the Fermi level is 7.82 states/eV/cell. Its space group is P4/mmm.

Cell lengths 3.367, 4.639, 4.639 Å; angles 90.00, 90.00, 90.00 degrees
Sites, in units of the cell vectors:
Fe  0.000  0.500  0.000
Pu  0.500  0.000  0.000
Pa  0.500  0.500  0.500
Fe  0.000  0.000  0.500

***

# 23
Density functional theory data (PBE) for a relaxed PuPaFe2 crystal.

As for the raw total energy: -40.84 eV/cell. Its total magnetic moment is 2.92 Bohr magnetons per cell. The density of states at the Fermi level is 6.04 states/eV/cell. Its space group is R-3m.

Cell lengths 4.151, 4.151, 5.382 Å; angles 67.32, 67.32, 60.00 degrees
Sites, in units of the cell vectors:
Fe  0.284  0.284  0.149
Fe  0.716  0.716  0.851
Pa  0.500  0.500  0.500
Pu  0.000  0.000  0.000

***

# 24
Density functional theory data (PBE) for a relaxed Pu2PaFe9 crystal.

As for the raw total energy: -115.25 eV/cell. Its total magnetic moment is 6.44 Bohr magnetons per cell. The density of states at the Fermi level is 23.83 states/eV/cell. Its space group is R-3m.

Cell lengths 4.901, 4.901, 8.889 Å; angles 74.00, 74.00, 60.00 degrees
Sites, in units of the cell vectors:
Fe  0.582  0.082  0.755
Pu  0.860  0.860  0.420
Pa  0.000  0.000  0.000
Fe  0.333  0.333  0.002
Pu  0.140  0.140  0.580
Fe  0.418  0.418  0.245
Fe  0.582  0.582  0.755
Fe  0.082  0.582  0.755
Fe  0.667  0.667  0.998
Fe  0.418  0.918  0.245
Fe  0.500  0.500  0.500
Fe  0.918  0.418  0.245

***

# 25
Density functional theory data (PBE) for a relaxed PuPaFe crystal.

As for the raw total energy: -32.06 eV/cell. Its total magnetic moment is 4.40 Bohr magnetons per cell. The density of states at the Fermi level is 7.58 states/eV/cell. Its space group is P3m1.

Cell lengths 3.434, 4.441, 4.441 Å; angles 120.00, 90.00, 90.00 degrees
Sites, in units of the cell vectors:
Pa  0.329  0.667  0.333
Pu  0.670  0.333  0.667
Fe  0.001  0.000  0.000

***

# 26
Density functional theory data (PBE) for a relaxed PuPaFe4 crystal.

As for the raw total energy: -58.72 eV/cell. Its total magnetic moment is 0.66 Bohr magnetons per cell. The density of states at the Fermi level is 9.97 states/eV/cell. Its space group is F-43m.

Cell lengths 5.024, 5.024, 5.024 Å; angles 60.00, 60.00, 60.00 degrees
Sites, in units of the cell vectors:
Fe  0.127  0.624  0.624
Fe  0.624  0.127  0.624
Pu  0.250  0.250  0.250
Fe  0.624  0.624  0.127
Fe  0.624  0.624  0.624
Pa  0.000  0.000  0.000

***

# 27
Density functional theory data (PBE) for a relaxed PuPaFe crystal.

As for the raw total energy: -32.35 eV/cell. Its total magnetic moment is 4.45 Bohr magnetons per cell. The density of states at the Fermi level is 5.75 states/eV/cell. Its space group is I4mm.

Cell lengths 3.442, 3.442, 5.424 Å; angles 108.50, 108.50, 90.00 degrees
Sites, in units of the cell vectors:
Pu  0.326  0.326  0.652
Fe  0.662  0.662  0.323
Pa  0.012  0.012  0.025